No. 1
The following is a DFT calculation (GGA-PBE) of a relaxed structure of In3Sn.

Values from the calculation:
Crystal system = tetragonal
Energy = -3.016 eV per atom
Energy of formation from the pure elements = 0.04 eV per atom

Cell lengths 4.510, 4.510, 10.715 Å; angles 90.00, 90.00, 90.00 degrees
Space group I4/mmm (No. 139)
Inequivalent atoms, fractional coordinates:
In 0.000 0.000 0.000 x2
In 0.000 0.500 0.250 x4
Sn 0.000 0.000 0.500 x2

***

No. 2
The following is a DFT calculation (GGA-PBE) of a relaxed structure of InSn.

Values from the calculation:
Crystal system = tetragonal
Energy = -3.185 eV per atom
Energy of formation from the pure elements = 0.19 eV per atom

Cell lengths 7.455, 7.455, 5.210 Å; angles 90.00, 90.00, 90.00 degrees
Space group P4_2/mnm (No. 136)
Inequivalent atoms, fractional coordinates:
In 0.240 0.240 0.000 x4
Sn 0.148 0.852 0.000 x4

***

No. 3
The following is a DFT calculation (GGA-PBE) of a relaxed structure of In4Sn3.

Values from the calculation:
Crystal system = monoclinic
Energy = -3.194 eV per atom
Energy of formation from the pure elements = 0.09 eV per atom

Cell lengths 7.734, 4.455, 12.259 Å; angles 90.00, 102.50, 90.00 degrees
Space group C2/m (No. 12)
Inequivalent atoms, fractional coordinates:
In 0.070 0.000 0.214 x4
In 0.213 0.000 0.634 x4
Sn 0.000 0.500 0.500 x2
Sn 0.145 0.500 0.936 x4

***

Which of these has the lowest energy of formation from the pure elements?
In3Sn